1.
Material: RbC3
Method: DFT, PBE
State: optimized geometry

Summary:
The calculation puts the formation energy at 4.303 eV/atom. As for the size of the total moment: 0.0 Bohr magnetons per cell.

Cell: 3.943 3.943 3.943 Å, 90.00 90.00 90.00°
Space group Pm-3m (No. 221)
Asymmetric unit:
Rb 0.000 0.000 0.000 (multiplicity 1)
C 0.000 0.500 0.500 (multiplicity 3)

=====

2.
Material: Rb2C
Method: DFT, PBE
State: optimized geometry

Summary:
The calculation puts the formation energy at 1.802 eV/atom. As for the size of the total moment: 11.8 Bohr magnetons per cell.

Cell: 9.1870 9.1870 15.3689 Å, 90.00 90.00 120.00°
Space group P6_3/mmc (No. 194)
Asymmetric unit:
Rb 0.0000 0.0000 0.0000 (multiplicity 2)
Rb 0.1855 0.3710 0.2500 (multiplicity 6)
C 0.3333 0.6667 0.1278 (multiplicity 4)